[1]
Er3TmSe4 | GGA-PBE | relaxed

Output
* E above lowest polymorph: 0.00 eV per formula unit
* density of states at the Fermi level: 6.782 states/eV per cell
* symmetry: P2/c, No. 13

a = 7.012 Å, b = 7.969 Å, c = 7.015 Å
α = 90.00°, β = 109.18°, γ = 90.00°
Positions (direct):
Er 0.000 0.124 0.250
Er 0.000 0.375 0.750
Er 0.000 0.625 0.250
Er 0.000 0.876 0.750
Er 0.500 0.125 0.750
Er 0.500 0.875 0.250
Tm 0.500 0.375 0.250
Tm 0.500 0.625 0.750
Se 0.251 0.126 0.001
Se 0.251 0.376 0.500
Se 0.251 0.624 0.000
Se 0.251 0.874 0.501
Se 0.749 0.126 0.499
Se 0.749 0.376 0.000
Se 0.749 0.624 0.500
Se 0.749 0.874 0.999

=====

[2]
CaPb2Br | GGA-PBE | relaxed

Output
* E above lowest polymorph: 0.75 eV per formula unit
* density of states at the Fermi level: 1.079 states/eV per cell
* symmetry: C2, No. 5

a = 6.649 Å, b = 6.649 Å, c = 3.614 Å
α = 105.68°, β = 105.68°, γ = 115.60°
Positions (direct):
Ca 0.000 0.000 0.000
Pb 0.481 0.519 0.000
Pb 0.730 0.270 0.500
Br 0.201 0.799 0.500

=====

[3]
SmYSbS | GGA-PBE | relaxed

Output
* density of states at the Fermi level: 2.532 states/eV per cell
* symmetry: R3m, No. 160

a = 7.543 Å, b = 7.543 Å, c = 7.543 Å
α = 31.82°, β = 31.82°, γ = 31.82°
Positions (direct):
Sm 0.000 0.000 0.000
Y 0.814 0.814 0.814
Sb 0.239 0.239 0.239
S 0.413 0.413 0.413

=====

[4]
Tl2HgPdF6 | GGA-PBE | relaxed

Output
* symmetry: P2_1/c, No. 14

a = 6.591 Å, b = 6.561 Å, c = 10.947 Å
α = 90.00°, β = 126.36°, γ = 90.00°
Positions (direct):
Tl 0.243 0.039 0.250
Tl 0.243 0.461 0.750
Tl 0.757 0.539 0.250
Tl 0.757 0.961 0.750
Hg 0.000 0.000 0.500
Hg 0.000 0.500 0.000
Pd 0.500 0.000 0.000
Pd 0.500 0.500 0.500
F 0.124 0.236 0.960
F 0.124 0.264 0.460
F 0.276 0.746 0.447
F 0.276 0.754 0.947
F 0.376 0.029 0.782
F 0.376 0.471 0.282
F 0.624 0.529 0.718
F 0.624 0.971 0.218
F 0.724 0.246 0.053
F 0.724 0.254 0.553
F 0.876 0.736 0.540
F 0.876 0.764 0.040

=====

Which formation energy from raw total energies belongs to each record? In order, -1686, -545, -1495, -1513 meV/atom.
Which total magnetization belongs to each record? In order, 0.00, 0.00, 0.00, 0.00 μB per atom.